Computed, not measured: a geometry-optimized CaMgSn2Pd4 structure at the PBE-GGA level of DFT.

a = 4.644 Å, b = 4.644 Å, c = 8.389 Å
α = 73.93°, β = 73.93°, γ = 60.00°
Atoms (fractional coordinates):
Pd (0.129, 0.129, 0.612)
Pd (0.871, 0.871, 0.388)
Pd (0.390, 0.390, 0.831)
Pd (0.610, 0.610, 0.169)
Sn (0.248, 0.248, 0.256)
Sn (0.752, 0.752, 0.744)
Ca (0.000, 0.000, 0.000)
Mg (0.500, 0.500, 0.500)

Calculated values
- N(E_F) (states/eV/f.u.) = 4.09
- calculated density (g/cm³) = 8.1

---

Computed, not measured: a geometry-optimized CsSc2Bi structure at the PBE-GGA level of DFT.

a = 5.955 Å, b = 5.955 Å, c = 11.242 Å
α = 74.64°, β = 74.64°, γ = 90.00°
Atoms (fractional coordinates):
Bi (0.000, 0.000, 0.000)
Bi (0.750, 0.250, 0.500)
Sc (0.375, 0.126, 0.750)
Sc (0.876, 0.625, 0.250)
Sc (0.875, 0.124, 0.750)
Sc (0.874, 0.125, 0.250)
Cs (0.250, 0.750, 0.500)
Cs (0.500, 0.500, 0.000)

Calculated values
- N(E_F) (states/eV/f.u.) = 7.53
- calculated density (g/cm³) = 3.9

---

Energy of formation for every record listed, in sequence, given in eV/atom: -0.691, 0.339.
Final energy for every record listed, in sequence, given in eV per cell: -37.90, -32.08.